Arrangement 1

Material: KAl2N
Method: DFT, PBE-GGA
State: optimized geometry

a = 6.7133 Å, b = 6.7133 Å, c = 6.1138 Å
α = 56.70°, β = 56.70°, γ = 90.00°
Positions (direct):
K1 0.7500 0.2500 0.5000
Al1 0.3750 0.5451 0.7500
K2 0.0000 0.0000 0.0000
N1 0.2500 0.7500 0.5000
Al2 0.8750 0.7049 0.7500
Al3 0.2951 0.6250 0.2500
Al4 0.4549 0.1250 0.2500
N2 0.5000 0.5000 0.0000

space-group type = I-42d



Arrangement 2

Material: KAl2N
Method: DFT, PBE-GGA
State: optimized geometry

a = 4.8218 Å, b = 4.8218 Å, c = 4.8218 Å
α = 60.00°, β = 60.00°, γ = 60.00°
Positions (direct):
Al1 0.7500 0.7500 0.7500
Al2 0.2500 0.2500 0.2500
N1 0.0000 0.0000 0.0000
K1 0.5000 0.5000 0.5000

space-group type = Fm-3m



The least stable of them is arrangement 2.



Arrangement 1

Material: KAlN
Method: DFT, PBE-GGA
State: optimized geometry

a = 3.2969 Å, b = 6.3295 Å, c = 6.9034 Å
α = 109.96°, β = 90.00°, γ = 90.00°
Positions (direct):
N1 0.7500 0.8084 0.9777
K1 0.7500 0.3278 0.7350
Al1 0.2500 0.8683 0.8713
K2 0.2500 0.6722 0.2650
N2 0.2500 0.1916 0.0223
Al2 0.7500 0.1317 0.1287

space-group type = P2_1/m



Arrangement 2

Material: KAlN
Method: DFT, PBE-GGA
State: optimized geometry

a = 3.7279 Å, b = 3.7279 Å, c = 11.2011 Å
α = 90.00°, β = 90.00°, γ = 90.00°
Positions (direct):
N1 0.0000 0.5000 0.5458
K1 0.0000 0.5000 0.8254
N2 0.5000 0.0000 0.4542
Al1 0.0000 0.0000 0.5000
K2 0.5000 0.0000 0.1746
Al2 0.5000 0.5000 0.5000

space-group type = P4/nmm



The least stable of them is arrangement 1.



Arrangement 1

Material: KNaAlN
Method: DFT, PBE-GGA
State: optimized geometry

a = 3.2307 Å, b = 4.2128 Å, c = 14.2216 Å
α = 90.00°, β = 90.00°, γ = 90.00°
Positions (direct):
Al1 0.0000 0.0000 0.0611
K1 0.0000 0.0000 0.3944
N1 0.5000 0.0000 0.9990
K2 0.0000 0.5000 0.8944
Na1 0.5000 0.0000 0.6764
Al2 0.0000 0.5000 0.5611
N2 0.5000 0.5000 0.4990
Na2 0.5000 0.5000 0.1764

space-group type = Amm2



Arrangement 2

Material: KNaAlN
Method: DFT, PBE-GGA
State: optimized geometry

a = 9.6114 Å, b = 3.2440 Å, c = 5.6060 Å
α = 90.00°, β = 101.36°, γ = 90.00°
Positions (direct):
Na1 0.3907 0.0000 0.5166
K1 0.7809 0.5000 0.8175
Na2 0.3907 0.5000 0.0166
N1 0.0156 0.0000 0.0639
Al1 0.0745 0.0000 0.7502
K2 0.7809 0.0000 0.3175
N2 0.0156 0.5000 0.5639
Al2 0.0745 0.5000 0.2502

space-group type = Cm



The least stable of them is arrangement 1.